Ac3InOs | PBE-GGA | relaxed

The structure in CIF format:
```
data_Ac3InOs
_chemical_formula_sum 'Ac3 In1 Os1'
_cell_length_a 5.768
_cell_length_b 5.768
_cell_length_c 5.768
_cell_angle_alpha 90.00
_cell_angle_beta 90.00
_cell_angle_gamma 90.00
_space_group_name_H-M_alt 'P m -3 m'
_space_group_IT_number 221
_space_group_name_Hall '-P 4 2 3'
loop_
_atom_site_label
_atom_site_type_symbol
_atom_site_fract_x
_atom_site_fract_y
_atom_site_fract_z
Ac1 Ac 0.000 0.000 0.500
In1 In 0.500 0.500 0.500
Os1 Os 0.000 0.000 0.000
```

VASP energy: -5.350 eV per atom
Mass density: 8.53 g/cm3
Size of the total moment: 0.0000 μB per atom
Offset from the most stable computed form: 59 meV per atom
Energy of formation: -0.091 eV/atom

---

SrPmAs2Rh5 | PBE-GGA | relaxed

The structure in CIF format:
```
data_SrPmAs2Rh5
_chemical_formula_sum 'Sr1 Pm1 As2 Rh5'
_cell_length_a 4.316
_cell_length_b 4.316
_cell_length_c 8.921
_cell_angle_alpha 90.00
_cell_angle_beta 90.00
_cell_angle_gamma 90.00
_space_group_name_H-M_alt 'P 4/m m m'
_space_group_IT_number 123
_space_group_name_Hall '-P 4 2'
loop_
_atom_site_label
_atom_site_type_symbol
_atom_site_fract_x
_atom_site_fract_y
_atom_site_fract_z
Sr1 Sr 0.000 0.000 0.000
Pm1 Pm 0.000 0.000 0.500
As1 As 0.500 0.500 0.349
Rh1 Rh 0.000 0.500 0.238
Rh2 Rh 0.500 0.500 0.000
```

VASP energy: -6.362 eV per atom
Mass density: 8.96 g/cm3
Size of the total moment: 0.0000 μB per atom
Energy of formation: -0.530 eV/atom